(1)
Below is a relaxed Mg2CrAg2 crystal, with properties calculated at the PBE level.

CIF file:
```
data_Mg2CrAg2
_chemical_formula_sum 'Mg2 Cr1 Ag2'
_cell_length_a 5.155
_cell_length_b 5.155
_cell_length_c 4.990
_cell_angle_alpha 90.00
_cell_angle_beta 90.00
_cell_angle_gamma 90.00
_symmetry_space_group_name_H-M 'P 4/m m m'
_symmetry_Int_Tables_number 123
_symmetry_space_group_name_Hall '-P 4 2'
loop_
_atom_site_label
_atom_site_type_symbol
_atom_site_fract_x
_atom_site_fract_y
_atom_site_fract_z
_atom_site_occupancy
Mg1 Mg 0.000 0.500 0.000 1
Cr1 Cr 0.000 0.000 0.000 1
Ag1 Ag 0.000 0.000 0.500 1
Ag2 Ag 0.500 0.500 0.500 1
```

Properties
For the total magnetic moment, the calculation gives 4.5 μB/f.u. Its formation energy is 0.89 eV/atom. The value obtained for the energy above the most stable polymorph in this dataset is 216 kJ/mol of formula units. The total energy comes out at -2.810 eV per atom. Its density of states at the Fermi level is 0.50 states/eV per atom.

***

(2)
Below is a relaxed CaTl3Pt crystal, with properties calculated at the PBE level.

CIF file:
```
data_CaTl3Pt
_chemical_formula_sum 'Ca1 Tl3 Pt1'
_cell_length_a 5.777
_cell_length_b 5.777
_cell_length_c 5.777
_cell_angle_alpha 90.00
_cell_angle_beta 90.00
_cell_angle_gamma 90.00
_symmetry_space_group_name_H-M 'P m -3 m'
_symmetry_Int_Tables_number 221
_symmetry_space_group_name_Hall '-P 4 2 3'
loop_
_atom_site_label
_atom_site_type_symbol
_atom_site_fract_x
_atom_site_fract_y
_atom_site_fract_z
_atom_site_occupancy
Ca1 Ca 0.000 0.000 0.000 1
Tl1 Tl 0.000 0.000 0.500 1
Pt1 Pt 0.500 0.500 0.500 1
```

Properties
For the total magnetic moment, the calculation gives 0.0 μB/f.u. Its formation energy is 0.98 eV/atom. The value obtained for the energy above the most stable polymorph in this dataset is 489 kJ/mol of formula units. The total energy comes out at -2.045 eV per atom. Its density of states at the Fermi level is 0.74 states/eV per atom.

***

(3)
Below is a relaxed Tl3CoS crystal, with properties calculated at the PBE level.

CIF file:
```
data_Tl3CoS
_chemical_formula_sum 'Tl3 Co1 S1'
_cell_length_a 5.671
_cell_length_b 5.671
_cell_length_c 5.671
_cell_angle_alpha 90.00
_cell_angle_beta 90.00
_cell_angle_gamma 90.00
_symmetry_space_group_name_H-M 'P m -3 m'
_symmetry_Int_Tables_number 221
_symmetry_space_group_name_Hall '-P 4 2 3'
loop_
_atom_site_label
_atom_site_type_symbol
_atom_site_fract_x
_atom_site_fract_y
_atom_site_fract_z
_atom_site_occupancy
Tl1 Tl 0.000 0.000 0.500 1
Co1 Co 0.500 0.500 0.500 1
S1 S 0.000 0.000 0.000 1
```

Properties
The energy relative to the elements, uncorrected is 4.3 eV/f.u. For the total magnetic moment, the calculation gives 2.2 μB/f.u. The value obtained for the energy above the most stable polymorph in this dataset is 308 kJ/mol of formula units. The total energy comes out at -2.805 eV per atom. Its density of states at the Fermi level is 2.34 states/eV per atom.

***

(4)
Below is a relaxed TaTlMo crystal, with properties calculated at the PBE level.

CIF file:
```
data_TaTlMo
_chemical_formula_sum 'Ta2 Tl2 Mo2'
_cell_length_a 2.857
_cell_length_b 4.445
_cell_length_c 8.819
_cell_angle_alpha 90.00
_cell_angle_beta 90.00
_cell_angle_gamma 90.00
_symmetry_space_group_name_H-M 'I m m 2'
_symmetry_Int_Tables_number 44
loop_
_symmetry_equiv_pos_as_xyz
'x,y,z'
'-x,-y,z'
'-x,y,z'
'x,-y,z'
'x+1/2,y+1/2,z+1/2'
'-x+1/2,-y+1/2,z+1/2'
'-x+1/2,y+1/2,z+1/2'
'x+1/2,-y+1/2,z+1/2'
loop_
_atom_site_label
_atom_site_type_symbol
_atom_site_fract_x
_atom_site_fract_y
_atom_site_fract_z
_atom_site_occupancy
Ta1 Ta 0.000 0.000 0.000 1
Tl1 Tl 0.000 0.000 0.668 1
Mo1 Mo 0.000 0.000 0.333 1
```

Properties
For the total magnetic moment, the calculation gives 0.0 μB/f.u. Its formation energy is 0.53 eV/atom. The value obtained for the energy above the most stable polymorph in this dataset is 52 kJ/mol of formula units. The total energy comes out at -7.821 eV per atom. Its density of states at the Fermi level is 0.33 states/eV per atom.

***

(5)
Below is a relaxed NaCa2TcSe crystal, with properties calculated at the PBE level.

CIF file:
```
data_NaCa2TcSe
_chemical_formula_sum 'Na1 Ca2 Tc1 Se1'
_cell_length_a 5.748
_cell_length_b 5.748
_cell_length_c 4.778
_cell_angle_alpha 90.00
_cell_angle_beta 90.00
_cell_angle_gamma 90.00
_symmetry_space_group_name_H-M 'P 4/m m m'
_symmetry_Int_Tables_number 123
_symmetry_space_group_name_Hall '-P 4 2'
loop_
_atom_site_label
_atom_site_type_symbol
_atom_site_fract_x
_atom_site_fract_y
_atom_site_fract_z
_atom_site_occupancy
Na1 Na 0.000 0.000 0.000 1
Ca1 Ca 0.000 0.500 0.000 1
Tc1 Tc 0.500 0.500 0.500 1
Se1 Se 0.000 0.000 0.500 1
```

Properties
The energy relative to the elements, uncorrected is 4.2 eV/f.u. For the total magnetic moment, the calculation gives 3.3 μB/f.u. The total energy comes out at -2.993 eV per atom. Its density of states at the Fermi level is 1.03 states/eV per atom.

***

(6)
Below is a relaxed KSi2Br crystal, with properties calculated at the PBE level.

CIF file:
```
data_KSi2Br
_chemical_formula_sum 'K1 Si2 Br1'
_cell_length_a 3.995
_cell_length_b 3.995
_cell_length_c 8.126
_cell_angle_alpha 90.00
_cell_angle_beta 90.00
_cell_angle_gamma 90.00
_symmetry_space_group_name_H-M 'P 4/m m m'
_symmetry_Int_Tables_number 123
_symmetry_space_group_name_Hall '-P 4 2'
loop_
_atom_site_label
_atom_site_type_symbol
_atom_site_fract_x
_atom_site_fract_y
_atom_site_fract_z
_atom_site_occupancy
K1 K 0.000 0.000 0.000 1
Si1 Si 0.000 0.500 0.500 1
Br1 Br 0.500 0.500 0.000 1
```

Properties
The energy relative to the elements, uncorrected is 0.6 eV/f.u. For the total magnetic moment, the calculation gives 0.0 μB/f.u. The value obtained for the energy above the most stable polymorph in this dataset is 210 kJ/mol of formula units. The total energy comes out at -3.255 eV per atom. Its density of states at the Fermi level is 0.52 states/eV per atom.

***

(7)
Below is a relaxed Ba3PuHf2O9 crystal, with properties calculated at the PBE level.

CIF file:
```
data_Ba3PuHf2O9
_chemical_formula_sum 'Ba3 Pu1 Hf2 O9'
_cell_length_a 6.0403
_cell_length_b 6.0403
_cell_length_c 7.4143
_cell_angle_alpha 90.00
_cell_angle_beta 90.00
_cell_angle_gamma 120.00
_symmetry_space_group_name_H-M 'P -3 m 1'
_symmetry_Int_Tables_number 164
_symmetry_space_group_name_Hall '-P 3 2"'
loop_
_atom_site_label
_atom_site_type_symbol
_atom_site_fract_x
_atom_site_fract_y
_atom_site_fract_z
_atom_site_occupancy
Ba1 Ba 0.0000 0.0000 0.0000 1
Ba2 Ba 0.3333 0.6667 0.6692 1
Pu1 Pu 0.0000 0.0000 0.5000 1
Hf1 Hf 0.3333 0.6667 0.1604 1
O1 O 0.0000 0.5000 0.0000 1
O2 O 0.1716 0.3432 0.3255 1
```

Properties
The energy relative to the elements, uncorrected is -48.3 eV/f.u. For the total magnetic moment, the calculation gives 4.0 μB/f.u. The total energy comes out at -8.862 eV per atom.

***

(8)
Below is a relaxed Ca2NbPRu crystal, with properties calculated at the PBE level.

CIF file:
```
data_Ca2NbPRu
_chemical_formula_sum 'Ca2 Nb1 P1 Ru1'
_cell_length_a 5.670
_cell_length_b 5.670
_cell_length_c 4.519
_cell_angle_alpha 90.00
_cell_angle_beta 90.00
_cell_angle_gamma 90.00
_symmetry_space_group_name_H-M 'P 4/m m m'
_symmetry_Int_Tables_number 123
_symmetry_space_group_name_Hall '-P 4 2'
loop_
_atom_site_label
_atom_site_type_symbol
_atom_site_fract_x
_atom_site_fract_y
_atom_site_fract_z
_atom_site_occupancy
Ca1 Ca 0.000 0.500 0.000 1
Nb1 Nb 0.000 0.000 0.000 1
P1 P 0.500 0.500 0.500 1
Ru1 Ru 0.000 0.000 0.500 1
```

Properties
For the total magnetic moment, the calculation gives 0.0 μB/f.u. Its formation energy is 1.02 eV/atom. The total energy comes out at -4.734 eV per atom. Its density of states at the Fermi level is 1.09 states/eV per atom.

***

(9)
Below is a relaxed Be2AgRu crystal, with properties calculated at the PBE level.

CIF file:
```
data_Be2AgRu
_chemical_formula_sum 'Be2 Ag1 Ru1'
_cell_length_a 2.844
_cell_length_b 2.844
_cell_length_c 5.906
_cell_angle_alpha 90.00
_cell_angle_beta 90.00
_cell_angle_gamma 90.00
_symmetry_space_group_name_H-M 'P 4 m m'
_symmetry_Int_Tables_number 99
loop_
_symmetry_equiv_pos_as_xyz
'x,y,z'
'-y,x,z'
'-x,-y,z'
'y,-x,z'
'-x,y,z'
'y,x,z'
'x,-y,z'
'-y,-x,z'
loop_
_atom_site_label
_atom_site_type_symbol
_atom_site_fract_x
_atom_site_fract_y
_atom_site_fract_z
_atom_site_occupancy
Be1 Be 0.000 0.000 0.000 1
Be2 Be 0.500 0.500 0.191 1
Ag1 Ag 0.500 0.500 0.743 1
Ru1 Ru 0.000 0.000 0.394 1
```

Properties
For the total magnetic moment, the calculation gives 0.0 μB/f.u. Its formation energy is 0.09 eV/atom. The total energy comes out at -4.800 eV per atom. Its density of states at the Fermi level is 0.65 states/eV per atom.

***

(10)
Below is a relaxed KBaPb2 crystal, with properties calculated at the PBE level.

CIF file:
```
data_KBaPb2
_chemical_formula_sum 'K4 Ba4 Pb8'
_cell_length_a 8.512
_cell_length_b 8.512
_cell_length_c 8.512
_cell_angle_alpha 90.00
_cell_angle_beta 90.00
_cell_angle_gamma 90.00
_symmetry_space_group_name_H-M 'F m -3 m'
_symmetry_Int_Tables_number 225
_symmetry_space_group_name_Hall '-F 4 2 3'
loop_
_atom_site_label
_atom_site_type_symbol
_atom_site_fract_x
_atom_site_fract_y
_atom_site_fract_z
_atom_site_occupancy
K1 K 0.000 0.000 0.000 1
Ba1 Ba 0.000 0.000 0.500 1
Pb1 Pb 0.250 0.250 0.250 1
```

Properties
For the total magnetic moment, the calculation gives 0.0 μB/f.u. Its formation energy is -0.25 eV/atom. The value obtained for the energy above the most stable polymorph in this dataset is 48 kJ/mol of formula units. The total energy comes out at -2.862 eV per atom. Its density of states at the Fermi level is 0.74 states/eV per atom.

***

(11)
Below is a relaxed Pm2NF crystal, with properties calculated at the PBE level.

CIF file:
```
data_Pm2NF
_chemical_formula_sum 'Pm6 N3 F3'
_cell_length_a 3.6079
_cell_length_b 3.6079
_cell_length_c 18.2588
_cell_angle_alpha 90.00
_cell_angle_beta 90.00
_cell_angle_gamma 120.00
_symmetry_space_group_name_H-M 'R -3 m'
_symmetry_Int_Tables_number 166
_symmetry_space_group_name_Hall '-R 3 2"'
loop_
_atom_site_label
_atom_site_type_symbol
_atom_site_fract_x
_atom_site_fract_y
_atom_site_fract_z
_atom_site_occupancy
Pm1 Pm 0.0000 0.0000 0.2386 1
N1 N 0.0000 0.0000 0.5000 1
F1 F 0.0000 0.0000 0.0000 1
```

Properties
The energy relative to the elements, uncorrected is -8.1 eV/f.u. For the total magnetic moment, the calculation gives 0.0 μB/f.u. The value obtained for the energy above the most stable polymorph in this dataset is 9 kJ/mol of formula units. The total energy comes out at -6.938 eV per atom. Its density of states at the Fermi level is 0.22 states/eV per atom.

***

(12)
Below is a relaxed NaPrHoPb crystal, with properties calculated at the PBE level.

CIF file:
```
data_NaPrHoPb
_chemical_formula_sum 'Na4 Pr4 Ho4 Pb4'
_cell_length_a 7.763
_cell_length_b 7.763
_cell_length_c 7.763
_cell_angle_alpha 90.00
_cell_angle_beta 90.00
_cell_angle_gamma 90.00
_symmetry_space_group_name_H-M 'F -4 3 m'
_symmetry_Int_Tables_number 216
_symmetry_space_group_name_Hall 'F -4 2 3'
loop_
_atom_site_label
_atom_site_type_symbol
_atom_site_fract_x
_atom_site_fract_y
_atom_site_fract_z
_atom_site_occupancy
Na1 Na 0.000 0.000 0.000 1
Pr1 Pr 0.250 0.250 0.750 1
Ho1 Ho 0.250 0.250 0.250 1
Pb1 Pb 0.000 0.000 0.500 1
```

Properties
For the total magnetic moment, the calculation gives 0.0 μB/f.u. Its formation energy is -0.17 eV/atom. The total energy comes out at -3.766 eV per atom. Its density of states at the Fermi level is 0.89 states/eV per atom.